(i)
The following is a GGA-PBE calculation of a geometry-optimized LiTa structure, from Alexandria via LeMat-Bulk.

Properties
* total moment: 0.79 μB per formula unit

```
LiTa
1.0
5.420 0.000 0.000
0.000 5.420 0.000
0.000 0.000 5.420
Li Ta
4 4
direct
0.750 0.250 0.750
0.750 0.750 0.250
0.250 0.750 0.750
0.250 0.250 0.250
0.000 0.000 0.000
0.500 0.500 0.000
0.000 0.500 0.500
0.500 0.000 0.500
```

(ii)
The following is a GGA-PBE calculation of a geometry-optimized LiTa structure, from Alexandria via LeMat-Bulk.

Properties
* total moment: 0.36 μB per formula unit

```
LiTa
1.0
4.581 0.000 0.000
2.290 3.967 0.000
2.290 1.322 3.740
Ta Li
2 2
direct
0.500 0.500 0.500
0.750 0.750 0.750
0.250 0.250 0.250
0.000 0.000 0.000
```

(iii)
The following is a GGA-PBE calculation of a geometry-optimized LiTa structure, from Alexandria via LeMat-Bulk.

Properties
* total moment: 0.00 μB per formula unit

```
LiTa
1.0
3.415 0.000 0.000
0.000 3.415 0.000
0.000 0.000 6.176
Ta Li
2 2
direct
0.500 0.500 0.726
0.000 0.000 0.524
0.000 0.000 0.003
0.500 0.500 0.247
```

Least stable = (i)

(i)
The following is a GGA-PBE calculation of a geometry-optimized LiTa3 structure, from Alexandria via LeMat-Bulk.

Properties
* total moment: 0.00 μB per formula unit

```
LiTa3
1.0
4.959 -0.032 0.000
1.498 4.728 0.000
-3.228 -2.348 2.942
Ta Li
3 1
direct
0.500 0.500 0.000
0.250 0.750 0.500
0.750 0.250 0.500
0.000 0.000 0.000
```

(ii)
The following is a GGA-PBE calculation of a geometry-optimized LiTa3 structure, from Alexandria via LeMat-Bulk.

Properties
* total moment: 0.00 μB per formula unit

```
LiTa3
1.0
-5.096 1.989 0.867
0.463 -4.545 -3.132
3.732 0.708 4.031
Ta Li
3 1
direct
0.500 0.000 0.500
0.000 0.500 0.500
0.500 0.500 0.000
0.000 0.000 0.000
```

Least stable = (i)

(i)
The following is a GGA-PBE calculation of a geometry-optimized LiTa3Tc structure, from Alexandria via LeMat-Bulk.

Properties
* total moment: 0.00 μB per formula unit

```
LiTa3Tc
1.0
4.837 0.000 0.000
0.000 4.837 0.000
0.000 0.000 4.837
Li Ta Tc
1 3 1
direct
0.500 0.500 0.500
0.000 0.500 0.000
0.000 0.000 0.500
0.500 0.000 0.000
0.000 0.000 0.000
```

(ii)
The following is a GGA-PBE calculation of a geometry-optimized LiTa3Tc structure, from Alexandria via LeMat-Bulk.

Properties
* total moment: 0.00 μB per formula unit

```
LiTa3Tc
1.0
-3.451 -1.149 2.415
2.438 0.267 3.612
-1.098 4.203 0.431
Ta Tc Li
3 1 1
direct
0.500 0.000 0.000
0.000 0.000 0.500
0.000 0.500 0.000
0.500 0.500 0.500
0.000 0.000 0.000
```

Least stable = (ii)

(i)
The following is a GGA-PBE calculation of a geometry-optimized LiTaTc structure, from Alexandria via LeMat-Bulk.

Properties
* total moment: 0.34 μB per formula unit

```
LiTaTc
1.0
4.747 -0.001 0.000
2.448 4.067 0.000
-3.597 -2.033 2.336
Li Ta Tc
1 1 1
direct
0.005 0.005 0.000
0.327 0.327 0.000
0.668 0.668 0.000
```

(ii)
The following is a GGA-PBE calculation of a geometry-optimized LiTaTc structure, from Alexandria via LeMat-Bulk.

Properties
* total moment: 0.00 μB per formula unit

```
LiTaTc
1.0
4.443 0.000 0.000
-2.222 3.848 0.000
0.000 0.000 2.677
Tc Ta Li
1 1 1
direct
0.667 0.333 0.682
0.333 0.667 0.347
0.000 0.000 0.971
```

Least stable = (i)